Entry 1:
The following is a DFT calculation (PBE-GGA) of a relaxed TiMnTc2 crystal.

The space group is I-42d (No. 122) and the conventional cell measures 6.920, 6.920 and 5.041 Å, with angles of 90.00, 90.00 and 90.00 degrees. The inequivalent atoms are Ti at (0.000, 0.000, 0.000), Mn at (0.000, 0.000, 0.500) and Tc at (0.215, 0.250, 0.625).

Its crystal system is tetragonal. The calculation puts the formation energy at 1.56 eV per formula unit.

---

Entry 2:
The following is a DFT calculation (PBE-GGA) of a relaxed SbW2Cl crystal.

The space group is Cmmm (No. 65) and the conventional cell measures 3.030, 5.345 and 9.032 Å, with angles of 90.00, 90.00 and 90.00 degrees. The inequivalent atoms are Sb at (0.000, 0.000, 0.000), W at (0.000, 0.500, 0.254) and Cl at (0.000, 0.000, 0.500).

Its crystal system is orthorhombic. Its energy above the most stable polymorph in this dataset is 1001.2 meV/atom.

---

Number 1: D(E_F) 4.920 states/eV/f.u., electronic total energy -9.06 eV per atom. Number 2: D(E_F) 3.730 states/eV/f.u., electronic total energy -6.92 eV per atom.